# 1
Y4Ir3 | Alexandria via LeMat-Bulk | GGA-PBE | relaxed; relative energy among the computed polymorphs = 278 meV/atom; DOS at the Fermi energy = 3.897 states/eV/cell; total moment = 0.00 μB/f.u.
1.0
-1.942 1.942 11.279
1.942 -1.942 11.279
1.942 1.942 -11.279
Y Ir
4 3
Cartesian
0.000 0.000 18.434
0.000 0.000 12.804
0.000 0.000 4.124
0.000 0.000 9.755
0.000 0.000 7.046
0.000 0.000 0.000
0.000 0.000 15.513

***

# 2
Y5Ir3 | Alexandria via LeMat-Bulk | GGA-PBE | relaxed; relative energy among the computed polymorphs = 0 meV/atom; DOS at the Fermi energy = 20.690 states/eV/cell; total moment = 0.00 μB/f.u.
1.0
-5.052 8.891 -3.872
-9.693 -4.761 1.714
-0.171 2.471 5.897
Y Ir
20 12
Cartesian
-9.635 7.048 2.875
-8.660 4.246 0.609
-2.132 3.103 -0.534
-3.991 4.835 2.155
-3.594 0.291 4.071
-6.212 5.478 -2.476
-13.589 3.829 0.641
-6.257 2.354 3.129
-13.116 6.706 2.917
-9.303 3.840 4.229
-8.619 -0.113 3.265
-5.281 -0.448 0.863
-12.784 3.498 4.271
-5.613 2.760 -0.491
-11.323 6.309 -0.333
-6.298 6.713 0.472
-1.328 2.772 3.097
-10.925 1.766 1.583
-1.800 -0.105 0.820
-8.533 -1.348 0.317
-8.520 6.730 -1.333
-3.990 5.461 -0.670
-11.081 3.412 -0.868
-11.166 4.647 2.080
-10.927 1.139 4.408
-5.628 9.428 1.088
-7.054 5.234 2.805
-3.750 1.953 1.658
-7.863 1.367 0.933
-3.836 3.189 4.606
-6.396 -0.130 5.071
-9.289 -2.828 2.649

***

# 3
Y5Ir | Alexandria via LeMat-Bulk | GGA-PBE | relaxed; relative energy among the computed polymorphs = 38 meV/atom; DOS at the Fermi energy = 7.468 states/eV/cell; total moment = 0.00 μB/f.u.
1.0
3.530 0.000 0.000
0.000 3.530 0.000
0.000 0.000 13.781
Y Ir
5 1
Cartesian
0.000 0.000 6.890
0.000 0.000 1.620
1.765 1.765 4.359
1.765 1.765 9.421
0.000 0.000 12.160
1.765 1.765 0.000

***

# 4
YIr2 | Alexandria via LeMat-Bulk | GGA-PBE | relaxed; DOS at the Fermi energy = 4.211 states/eV/cell; total moment = 0.00 μB/f.u.
1.0
6.456 -0.008 0.000
5.087 3.976 0.000
-5.772 -1.984 2.106
Ir Y
2 1
Cartesian
0.154 0.053 0.000
7.541 2.593 0.000
3.848 1.323 0.000

***

# 5
YIr4 | Alexandria via LeMat-Bulk | GGA-PBE | relaxed; relative energy among the computed polymorphs = 6 meV/atom; DOS at the Fermi energy = 3.943 states/eV/cell; total moment = 0.00 μB/f.u.
1.0
-3.228 3.228 1.995
3.228 -3.228 1.995
3.228 3.228 -1.995
Ir Y
4 1
Cartesian
0.637 2.069 1.995
2.069 -0.637 1.995
1.158 3.865 0.000
2.591 1.158 0.000
0.000 0.000 0.000

***

# 6
Y3Ir4 | Alexandria via LeMat-Bulk | GGA-PBE | relaxed; relative energy among the computed polymorphs = 0 meV/atom; DOS at the Fermi energy = 14.067 states/eV/cell; total moment = 0.00 μB/f.u.
1.0
-6.589 -0.212 4.584
-0.889 -3.130 -7.341
6.793 -2.061 3.752
Y Ir
6 8
Cartesian
-0.928 -3.569 3.111
-2.451 -0.914 1.028
0.243 -1.834 -2.116
1.767 -4.489 -0.033
1.696 -1.292 1.832
-2.381 -4.112 -0.837
-1.863 -3.630 -3.492
-0.342 -2.702 0.497
2.484 -3.277 -2.785
3.864 -3.453 1.408
0.000 0.000 0.000
-3.168 -2.126 3.779
-4.549 -1.950 -0.414
1.178 -1.773 4.487

***

Going through the records in order, we get E_form values of -0.502; -0.772; -0.248; -0.157; -0.207; -0.551 eV per atom.